Entry 1:
VASP calculation (PBE) on crystalline SbPRhI2 at its relaxed geometry.

Cell: 5.3487 5.3487 5.0836 Å, 90.00 90.00 90.00°
Space group P4/mmm (No. 123)
Unique sites:
Sb  0.0000  0.0000  0.0000 (multiplicity 1)
P  0.5000  0.5000  0.0000 (multiplicity 1)
Rh  0.0000  0.0000  0.5000 (multiplicity 1)
I  0.0000  0.5000  0.5000 (multiplicity 2)

Properties
* mass density: 5817 kg/m³
* calculated volume: 29.087 Å³/atom
* total magnetization: 0.00 μB per cell
* excess energy over the best structure of this formula in the dataset: 0.000 eV per atom

Entry 2:
VASP calculation (PBE) on crystalline MnAgTe2N at its relaxed geometry.

Cell: 5.4102 5.4102 3.4527 Å, 90.00 90.00 90.00°
Space group P4/mmm (No. 123)
Unique sites:
Mn  0.0000  0.0000  0.0000 (multiplicity 1)
Ag  0.5000  0.5000  0.5000 (multiplicity 1)
Te  0.0000  0.5000  0.0000 (multiplicity 2)
N  0.0000  0.0000  0.5000 (multiplicity 1)

Properties
* mass density: 7099 kg/m³
* calculated volume: 20.212 Å³/atom
* total magnetization: 1.15 μB per cell
* excess energy over the best structure of this formula in the dataset: 0.000 eV per atom

Entry 3:
VASP calculation (PBE) on crystalline Na2DyAsSe4 at its relaxed geometry.

Cell: 8.1530 8.3224 11.6645 Å, 90.00 90.00 90.00°
Space group Imma (No. 74)
Unique sites:
Na  0.0000  0.0000  0.0000 (multiplicity 4)
Na  0.2500  0.2500  0.2500 (multiplicity 4)
Dy  0.0000  0.0000  0.5000 (multiplicity 4)
As  0.2500  0.2500  0.7500 (multiplicity 4)
Se  0.0000  0.0244  0.7460 (multiplicity 8)
Se  0.2417  0.2500  0.5131 (multiplicity 8)

Properties
* mass density: 5029 kg/m³
* calculated volume: 24.734 Å³/atom
* total magnetization: 0.00 μB per cell
* E: -34.52 eV/f.u.

- What is the formula in the first record?
  SbPRhI2